A relaxed structure of Y2Th2C3, computed with PBE-GGA.

Output
N(E_F)   0.70 states/eV per atom
Total magnetization   0.000 μB per formula unit
ΔE_f   -288 meV per atom

a = 6.5247 Å, b = 6.5247 Å, c = 6.3520 Å
α = 102.28°, β = 102.28°, γ = 33.33°
With the nearest neighbours (Å) after each atom.
Sites, in units of the cell vectors:
Y1 0.1402 0.1402 0.3578  4 C 2.50-2.63
Y2 0.8598 0.8598 0.6422  4 C 2.50-2.63
Th1 0.3775 0.3775 0.1254  5 C 2.49-2.70
Th2 0.6225 0.6225 0.8746  5 C 2.49-2.70
C1 0.0000 0.0000 0.0000  2 Y 2.54, 4 Th 2.65
C2 0.2538 0.2538 0.7591  3 Th 2.49-2.70, 3 Y 2.50-2.63
C3 0.7462 0.7462 0.2409  3 Th 2.49-2.70, 3 Y 2.50-2.63